Record 1
BaErAu2 | PBE | relaxed

Calculated values
ΔE to the lowest computed polymorph   41 kJ/mol of formula units
E   -3.91 eV/atom
Formation energy   -0.649 eV per atom

Lattice parameters (Å, degrees): 4.3139 4.3139 8.0914 74.54 74.54 60.00
Closest atoms and distances in Å follow each position.
Positions (direct):
1 Ba 0.4980 0.4980 0.5061  6 Au 3.36-3.42
2 Er 0.6687 0.6687 0.9939  6 Au 2.91-2.96
3 Au 0.0671 0.0671 0.7987  3 Er 2.91
4 Au 0.2662 0.2662 0.2013  3 Er 2.96


Record 2
KBaPr2Te4 | PBE | relaxed

Calculated values
E   -4.65 eV/atom
Energy relative to the elements, uncorrected   -1.507 eV per atom

Lattice parameters (Å, degrees): 4.6544 8.5043 8.0526 71.66 90.00 90.00
Closest atoms and distances in Å follow each position.
Positions (direct):
1 K 0.0000 0.5000 0.5000  6 Te 3.47-3.50
2 Ba 0.5000 0.5000 0.0000  6 Te 3.48-3.49
3 Pr 0.0000 0.0000 0.0000  6 Te 3.23-3.25
4 Pr 0.5000 0.0000 0.5000  6 Te 3.23-3.25
5 Te 0.0000 0.7740 0.7412  3 Pr 3.25, 1 K 3.47, 2 Ba 3.48
6 Te 0.0000 0.2260 0.2588  3 Pr 3.25, 1 K 3.47, 2 Ba 3.48
7 Te 0.5000 0.7770 0.2406  3 Pr 3.23, 1 Ba 3.49, 2 K 3.50
8 Te 0.5000 0.2230 0.7594  3 Pr 3.23, 1 Ba 3.49, 2 K 3.50


Record 3
Sr3Li7Zn2 | PBE | relaxed

Calculated values
E   -1.80 eV/atom
Formation energy   -0.050 eV per atom

Lattice parameters (Å, degrees): 6.0562 6.0562 10.6033 73.41 73.41 60.00
Closest atoms and distances in Å follow each position.
Positions (direct):
1 Sr 0.0000 0.0000 0.0000  6 Zn 3.50, 12 Li 3.75
2 Sr 0.8602 0.8602 0.4195  12 Li 3.59-4.00, 3 Sr 3.85
3 Sr 0.1398 0.1398 0.5805  12 Li 3.59-4.00, 3 Sr 3.85
4 Li 0.5000 0.5000 0.5000  6 Li 3.28, 6 Sr 3.59
5 Li 0.9243 0.4270 0.2216  2 Zn 2.82-2.83, 4 Li 3.01-3.04
6 Li 0.4270 0.9243 0.2216  2 Zn 2.82-2.83, 4 Li 3.01-3.04
7 Li 0.4270 0.4270 0.2216  2 Zn 2.82-2.83, 4 Li 3.01-3.04
8 Li 0.0757 0.5730 0.7784  2 Zn 2.82-2.83, 4 Li 3.01-3.04
9 Li 0.5730 0.5730 0.7784  2 Zn 2.82-2.83, 4 Li 3.01-3.04
10 Li 0.5730 0.0757 0.7784  2 Zn 2.82-2.83, 4 Li 3.01-3.04
11 Zn 0.6670 0.6670 0.9991  6 Li 2.82-2.83
12 Zn 0.3330 0.3330 0.0009  6 Li 2.82-2.83


Ordered DOS(E_F) results: 2.53; 2.92; 4.25; unit states/eV per cell.
Ordered total magnetic moment results: 0.0; 0.0; 0.0; unit μB/f.u..